Material: DyY2In
Method: DFT, PBE-GGA
State: optimized geometry

The structure belongs to space group Fm-3m (No. 225); the cell edges are 7.722, 7.722 and 7.722 Å and the angles 90.00°, 90.00° and 90.00°. Symmetry generates all atoms from Dy at (0.000, 0.000, 0.000), Y at (0.250, 0.250, 0.250) and In at (0.000, 0.000, 0.500).

The energy relative to the lowest polymorph listed for this composition comes out at 133.4 meV per atom. The value obtained for the formation energy is -0.140 eV/atom.

***

Material: CSe2
Method: DFT, PBE-GGA
State: optimized geometry

The structure belongs to space group P-62m (No. 189); the cell edges are 5.5958, 5.5958 and 8.6843 Å and the angles 90.00°, 90.00° and 120.00°. Symmetry generates all atoms from C at (0.0000, 0.0000, 0.0000), C at (0.3333, 0.6667, 0.5000), Se at (0.0000, 0.6665, 0.0000) and Se at (0.0000, 0.6757, 0.5000).

The energy relative to the lowest polymorph listed for this composition comes out at 378.1 meV per atom.

***

Material: La2Ga4Ge
Method: DFT, PBE-GGA
State: optimized geometry

The structure belongs to space group I4/mmm (No. 139); the cell edges are 4.872, 4.872 and 15.507 Å and the angles 90.00°, 90.00° and 90.00°. Symmetry generates all atoms from La at (0.000, 0.000, 0.141), Ga at (0.000, 0.000, 0.336), Ga at (0.000, 0.500, 0.000) and Ge at (0.000, 0.000, 0.500).

The value obtained for the formation energy is -0.188 eV/atom.

***

Material: Sm2TmCd
Method: DFT, PBE-GGA
State: optimized geometry

The structure belongs to space group I4/mmm (No. 139); the cell edges are 5.146, 5.146 and 17.941 Å and the angles 90.00°, 90.00° and 90.00°. Symmetry generates all atoms from Sm at (0.000, 0.000, 0.135), Sm at (0.000, 0.500, 0.000), Tm at (0.000, 0.000, 0.359) and Cd at (0.000, 0.500, 0.250).

The energy relative to the lowest polymorph listed for this composition comes out at 0.0 meV per atom. The value obtained for the formation energy is -0.147 eV/atom.

***

What did the first record say?
Material: DyY2In
Method: DFT, PBE-GGA
State: optimized geometry

The structure belongs to space group Fm-3m (No. 225); the cell edges are 7.722, 7.722 and 7.722 Å and the angles 90.00°, 90.00° and 90.00°. Symmetry generates all atoms from Dy at (0.000, 0.000, 0.000), Y at (0.250, 0.250, 0.250) and In at (0.000, 0.000, 0.500).

The energy relative to the lowest polymorph listed for this composition comes out at 133.4 meV per atom. The value obtained for the formation energy is -0.140 eV/atom.